Entry 1:
A relaxed Ca2CdRuC crystal, computed with PBE.

Calculated values
calculated total energy: -4.772 eV per atom
crystal system: tetragonal
energy relative to the elements: -88 meV per atom

```
data_Ca2CdRuC
_cell_length_a 5.1655
_cell_length_b 5.1655
_cell_length_c 3.9173
_cell_angle_alpha 90.00
_cell_angle_beta 90.00
_cell_angle_gamma 90.00
_symmetry_space_group_name_H-M 'P 4/m m m'
_symmetry_Int_Tables_number 123
_symmetry_space_group_name_Hall '-P 4 2'
loop_
_atom_site_label
_atom_site_type_symbol
_atom_site_fract_x
_atom_site_fract_y
_atom_site_fract_z
_atom_site_occupancy
Ca1 Ca 0.0000 0.5000 0.0000 1
Cd1 Cd 0.0000 0.0000 0.5000 1
Ru1 Ru 0.5000 0.5000 0.5000 1
C1 C 0.5000 0.5000 0.0000 1
```

Entry 2:
A relaxed Ca2CdCS crystal, computed with PBE.

Calculated values
calculated total energy: -3.115 eV per atom
crystal system: tetragonal
raw formation energy: 0.54 eV per atom

```
data_Ca2CdCS
_cell_length_a 5.2057
_cell_length_b 5.2057
_cell_length_c 4.9348
_cell_angle_alpha 90.00
_cell_angle_beta 90.00
_cell_angle_gamma 90.00
_symmetry_space_group_name_H-M 'P 4/m m m'
_symmetry_Int_Tables_number 123
_symmetry_space_group_name_Hall '-P 4 2'
loop_
_atom_site_label
_atom_site_type_symbol
_atom_site_fract_x
_atom_site_fract_y
_atom_site_fract_z
_atom_site_occupancy
Ca1 Ca 0.0000 0.5000 0.0000 1
Cd1 Cd 0.0000 0.0000 0.5000 1
C1 C 0.5000 0.5000 0.5000 1
S1 S 0.0000 0.0000 0.0000 1
```

Entry 3:
A relaxed CaSc2CdC crystal, computed with PBE.

Calculated values
calculated total energy: -5.231 eV per atom
crystal system: tetragonal
energy relative to the elements: -270 meV per atom

```
data_CaSc2CdC
_cell_length_a 4.5391
_cell_length_b 4.5391
_cell_length_c 5.1626
_cell_angle_alpha 90.00
_cell_angle_beta 90.00
_cell_angle_gamma 90.00
_symmetry_space_group_name_H-M 'P 4/m m m'
_symmetry_Int_Tables_number 123
_symmetry_space_group_name_Hall '-P 4 2'
loop_
_atom_site_label
_atom_site_type_symbol
_atom_site_fract_x
_atom_site_fract_y
_atom_site_fract_z
_atom_site_occupancy
Ca1 Ca 0.0000 0.0000 0.0000 1
Sc1 Sc 0.0000 0.5000 0.5000 1
Cd1 Cd 0.5000 0.5000 0.0000 1
C1 C 0.0000 0.0000 0.5000 1
```

Please write out number 2 again, unchanged.
A relaxed Ca2CdCS crystal, computed with PBE.

Calculated values
calculated total energy: -3.115 eV per atom
crystal system: tetragonal
raw formation energy: 0.54 eV per atom

```
data_Ca2CdCS
_cell_length_a 5.2057
_cell_length_b 5.2057
_cell_length_c 4.9348
_cell_angle_alpha 90.00
_cell_angle_beta 90.00
_cell_angle_gamma 90.00
_symmetry_space_group_name_H-M 'P 4/m m m'
_symmetry_Int_Tables_number 123
_symmetry_space_group_name_Hall '-P 4 2'
loop_
_atom_site_label
_atom_site_type_symbol
_atom_site_fract_x
_atom_site_fract_y
_atom_site_fract_z
_atom_site_occupancy
Ca1 Ca 0.0000 0.5000 0.0000 1
Cd1 Cd 0.0000 0.0000 0.5000 1
C1 C 0.5000 0.5000 0.5000 1
S1 S 0.0000 0.0000 0.0000 1
```

Look up the calculated total energy of the first one.
-4.772 eV per atom